Entry 1:
# TlCuRe2

An optimized crystal structure of TlCuRe2 (PBE, Alexandria via LeMat-Bulk).

Cell: 4.0243 4.3514 7.3952 Å, 90.00 90.00 90.00°
Space group Imm2 (No. 44)
Symmetry-distinct sites (fractional):
Tl: 0.0000 0.0000 0.0000
Cu: 0.0000 0.5000 0.7531
Re: 0.0000 0.0000 0.5109
Re: 0.0000 0.5000 0.2375

Output
formation energy from the elements: 0.791 eV/atom
offset from the most stable computed form: 0.3360 eV per atom



Entry 2:
# TbGdTcAg

An optimized crystal structure of TbGdTcAg (PBE, Alexandria via LeMat-Bulk).

Cell: 7.0738 7.0738 7.0738 Å, 90.00 90.00 90.00°
Space group F-43m (No. 216)
Symmetry-distinct sites (fractional):
Tb: 0.0000 0.0000 0.0000
Gd: 0.0000 0.0000 0.5000
Tc: 0.2500 0.2500 0.2500
Ag: 0.2500 0.2500 0.7500

Output
formation energy from the elements: -0.091 eV/atom



Entry 3:
# Tc3POs

An optimized crystal structure of Tc3POs (PBE, Alexandria via LeMat-Bulk).

Cell: 4.2970 4.2970 4.2970 Å, 90.00 90.00 90.00°
Space group Pm-3m (No. 221)
Symmetry-distinct sites (fractional):
Tc: 0.0000 0.0000 0.5000
P: 0.0000 0.0000 0.0000
Os: 0.5000 0.5000 0.5000

Output
formation energy from the elements: 0.800 eV/atom
offset from the most stable computed form: 0.0000 eV per atom



Entry 4:
# TiMnRe

An optimized crystal structure of TiMnRe (PBE, Alexandria via LeMat-Bulk).

Cell: 4.9605 5.0782 7.0009 Å, 90.00 90.00 90.00°
Space group Imma (No. 74)
Symmetry-distinct sites (fractional):
Ti: 0.0000 0.2500 0.1258
Mn: 0.2500 0.2500 0.7500
Re: 0.0000 0.0000 0.5000

Output
formation energy from the elements: -0.231 eV/atom
offset from the most stable computed form: 0.0000 eV per atom



Entry 5:
# BaLi4Os

An optimized crystal structure of BaLi4Os (PBE, Alexandria via LeMat-Bulk).

Cell: 7.6517 7.6517 7.6517 Å, 90.00 90.00 90.00°
Space group F-43m (No. 216)
Symmetry-distinct sites (fractional):
Ba: 0.0000 0.0000 0.0000
Li: 0.1193 0.1193 0.6193
Os: 0.2500 0.2500 0.2500

Output
formation energy from the elements: 0.439 eV/atom



Entry 6:
# LiHgGePd

An optimized crystal structure of LiHgGePd (PBE, Alexandria via LeMat-Bulk).

Cell: 6.4760 6.4760 6.4760 Å, 90.00 90.00 90.00°
Space group F-43m (No. 216)
Symmetry-distinct sites (fractional):
Li: 0.0000 0.0000 0.0000
Hg: 0.2500 0.2500 0.7500
Ge: 0.2500 0.2500 0.2500
Pd: 0.0000 0.0000 0.5000

Output
formation energy from the elements: -0.284 eV/atom



Entry 7:
# CoPdI

An optimized crystal structure of CoPdI (PBE, Alexandria via LeMat-Bulk).

Cell: 3.6866 3.6866 10.5526 Å, 90.00 90.00 120.00°
Space group P-6m2 (No. 187)
Symmetry-distinct sites (fractional):
Co: 0.0000 0.0000 0.0000
Co: 0.0000 0.0000 0.5000
Pd: 0.3333 0.6667 0.1306
I: 0.6667 0.3333 0.3335

Output
ΔE_f (raw): 142 kJ/mol of formula units



Entry 8:
# Pr2NdHoTm2

An optimized crystal structure of Pr2NdHoTm2 (PBE, Alexandria via LeMat-Bulk).

Cell: 5.6542 10.2161 6.8943 Å, 90.00 90.00 90.00°
Space group Pmc2_1 (No. 26)
Symmetry-distinct sites (fractional):
Pr: 0.0000 0.0258 0.0000
Pr: 0.5000 0.2008 0.2617
Nd: 0.0000 0.3080 0.6521
Ho: 0.5000 0.4747 0.9112
Tm: 0.0000 0.3735 0.1597
Tm: 0.5000 0.1324 0.7537

Output
formation energy from the elements: 0.072 eV/atom



Results for D(E_F): 0.69 0.82 1.54 0.94 0.23 0.49 1.74 1.39 (in states/eV per atom, following the order of the records).
Results for energy: -7.048 -8.073 -8.748 -10.069 -3.028 -3.291 -4.126 -4.570 (in eV per atom, following the order of the records).